(1)
First-principles (PBE-GGA) data for a geometry-optimized Y2BrCl structure, as listed in Alexandria.

Unit cell a=3.471 b=5.088 c=11.961 alpha=90.00 beta=90.00 gamma=90.00
Space group Imm2 (No. 44)
Inequivalent atoms, fractional coordinates:
1 Y 0.000 0.000 0.000
2 Y 0.000 0.500 0.240
3 Br 0.000 0.000 0.521
4 Cl 0.000 0.500 0.707

Output
The value obtained for the energy relative to the elements, uncorrected is -359.3 kJ/mol of formula units. The calculation puts the electronic total energy at -40.34 eV for the cell shown. The energy above the most stable polymorph in this dataset is 355 meV/atom. For the calculated density, the calculation gives 4.6 g cm⁻³.

=====

(2)
First-principles (PBE-GGA) data for a geometry-optimized LaTbPrSm2 structure, as listed in Alexandria.

Unit cell a=8.723 b=6.605 c=6.374 alpha=90.00 beta=100.97 gamma=90.00
Space group P2/c (No. 13)
Inequivalent atoms, fractional coordinates:
1 La 0.000 0.000 0.000
2 Tb 0.000 0.447 0.250
3 Pr 0.500 0.161 0.250
4 Sm 0.313 0.324 0.687

Output
For the formation energy, the calculation gives 0.261 eV/atom. The calculation puts the electronic total energy at -44.94 eV for the cell shown. For the calculated density, the calculation gives 6.8 g cm⁻³.

=====

(3)
First-principles (PBE-GGA) data for a geometry-optimized PrNdHo structure, as listed in Alexandria.

Unit cell a=3.650 b=3.650 c=15.415 alpha=90.00 beta=90.00 gamma=90.00
Space group I4mm (No. 107)
Inequivalent atoms, fractional coordinates:
1 Pr 0.000 0.000 0.000
2 Nd 0.000 0.000 0.329
3 Ho 0.000 0.000 0.665

Output
For the formation energy, the calculation gives 0.024 eV/atom. The calculation puts the electronic total energy at -28.11 eV for the cell shown. The energy above the most stable polymorph in this dataset is 6 meV/atom. For the calculated density, the calculation gives 7.3 g cm⁻³.

=====

(4)
First-principles (PBE-GGA) data for a geometry-optimized NaTl2GaNi structure, as listed in Alexandria.

Unit cell a=5.161 b=5.161 c=4.685 alpha=90.00 beta=90.00 gamma=90.00
Space group P4/mmm (No. 123)
Inequivalent atoms, fractional coordinates:
1 Na 0.000 0.000 0.000
2 Tl 0.000 0.500 0.500
3 Ga 0.500 0.500 0.000
4 Ni 0.500 0.500 0.500

Output
For the formation energy, the calculation gives -0.002 eV/atom. The calculation puts the electronic total energy at -14.87 eV for the cell shown. For the calculated density, the calculation gives 7.5 g cm⁻³.

=====

(5)
First-principles (PBE-GGA) data for a geometry-optimized MgUNi2As2 structure, as listed in Alexandria.

Unit cell a=4.0642 b=4.0642 c=7.0116 alpha=90.00 beta=90.00 gamma=120.00
Space group P-3m1 (No. 164)
Inequivalent atoms, fractional coordinates:
1 Mg 0.0000 0.0000 0.0000
2 U 0.0000 0.0000 0.5000
3 Ni 0.3333 0.6667 0.2107
4 As 0.3333 0.6667 0.7536

Output
For the formation energy, the calculation gives -0.536 eV/atom. The calculation puts the electronic total energy at -36.96 eV for the cell shown. For the calculated density, the calculation gives 8.8 g cm⁻³.

=====

(6)
First-principles (PBE-GGA) data for a geometry-optimized NaLaPS2 structure, as listed in Alexandria.

Unit cell a=4.904 b=4.904 c=4.714 alpha=90.00 beta=90.00 gamma=90.00
Space group P4/mmm (No. 123)
Inequivalent atoms, fractional coordinates:
1 Na 0.000 0.000 0.000
2 La 0.500 0.500 0.500
3 P 0.000 0.000 0.500
4 S 0.000 0.500 0.000

Output
The value obtained for the energy relative to the elements, uncorrected is -132.2 kJ/mol of formula units. The calculation puts the electronic total energy at -21.28 eV for the cell shown. The energy above the most stable polymorph in this dataset is 108 meV/atom. For the calculated density, the calculation gives 3.8 g cm⁻³.